Record 1
Density functional theory data (PBE-GGA) for crystalline K2HfTlCl8 at its relaxed geometry.

Cell lengths 6.6779, 8.8793, 6.8522 Å; angles 90.00, 93.47, 90.00 degrees
With the nearest neighbours (Å) after each atom.
Fractional positions:
K: 0.0000 0.2378 0.0000  6 Cl 3.07-3.29
K: 0.0000 0.7622 0.0000  6 Cl 3.07-3.29
Hf: 0.5000 0.0000 0.5000  6 Cl 2.45-2.48
Tl: 0.5000 0.5000 0.5000  2 Cl 2.67
Cl: 0.2401 0.5000 0.1878  1 Tl 2.67
Cl: 0.2889 0.2009 0.6314  1 Hf 2.48
Cl: 0.2889 0.7991 0.6314  1 Hf 2.48
Cl: 0.2912 0.0000 0.1933  1 Hf 2.45
Cl: 0.7088 0.0000 0.8067  1 Hf 2.45
Cl: 0.7111 0.2009 0.3686  1 Hf 2.48
Cl: 0.7111 0.7991 0.3686  1 Hf 2.48
Cl: 0.7599 0.5000 0.8122  1 Tl 2.67

Output
**Calculated volume**: 406 Å³ per cell
**Density of states at the Fermi level**: 4.25 states/eV/cell
**Theoretical density**: 3.05 Mg/m³
**Formation energy without anion corrections**: -19.2 eV/f.u.

Record 2
Density functional theory data (PBE-GGA) for crystalline Sm2ScZn3Cu12 at its relaxed geometry.

Cell lengths 6.5987, 6.5987, 6.5987 Å; angles 84.86, 84.86, 84.86 degrees
With the nearest neighbours (Å) after each atom.
Fractional positions:
Sm: 0.1969 0.1969 0.1969  9 Cu 2.80-2.91, 3 Zn 3.08
Sm: 0.8031 0.8031 0.8031  9 Cu 2.80-2.91, 3 Zn 3.08
Sc: 0.5000 0.5000 0.5000  6 Cu 2.55
Zn: 0.0000 0.5000 0.5000  6 Cu 2.60-2.80
Zn: 0.5000 0.0000 0.5000  6 Cu 2.60-2.80
Zn: 0.5000 0.5000 0.0000  6 Cu 2.60-2.80
Cu: 0.0882 0.0882 0.6282  4 Cu 2.37-2.62
Cu: 0.0882 0.6282 0.0882  4 Cu 2.37-2.62
Cu: 0.2191 0.7043 0.7043  3 Cu 2.37-2.62, 1 Sc 2.55, 1 Zn 2.60
Cu: 0.2957 0.2957 0.7809  3 Cu 2.37-2.62, 1 Sc 2.55, 1 Zn 2.60
Cu: 0.2957 0.7809 0.2957  3 Cu 2.37-2.62, 1 Sc 2.55, 1 Zn 2.60
Cu: 0.3718 0.9118 0.9118  4 Cu 2.37-2.62
Cu: 0.6282 0.0882 0.0882  4 Cu 2.37-2.62
Cu: 0.7043 0.2191 0.7043  3 Cu 2.37-2.62, 1 Sc 2.55, 1 Zn 2.60
Cu: 0.7043 0.7043 0.2191  3 Cu 2.37-2.62, 1 Sc 2.55, 1 Zn 2.60
Cu: 0.7809 0.2957 0.2957  3 Cu 2.37-2.62, 1 Sc 2.55, 1 Zn 2.60
Cu: 0.9118 0.3718 0.9118  4 Cu 2.37-2.62
Cu: 0.9118 0.9118 0.3718  4 Cu 2.37-2.62

Output
**Calculated formation energy**: 0.0576 eV/atom
**Calculated volume**: 284 Å³ per cell
**Density of states at the Fermi level**: 8.26 states/eV/cell
**Theoretical density**: 7.63 Mg/m³

Record 3
Density functional theory data (PBE-GGA) for crystalline ZnAs2Pt at its relaxed geometry.

Cell lengths 3.0877, 3.0877, 26.2477 Å; angles 90.00, 90.00, 120.00 degrees
With the nearest neighbours (Å) after each atom.
Fractional positions:
Zn: 0.0000 0.0000 0.0000  3 Pt 2.71, 3 As 2.73
Zn: 0.3333 0.6667 0.6667  3 Pt 2.71, 3 As 2.73
Zn: 0.6667 0.3333 0.3333  3 Pt 2.71, 3 As 2.73
As: 0.0000 0.0000 0.2545  3 Zn 2.73
As: 0.0000 0.0000 0.4808  3 Pt 2.56
As: 0.3333 0.6667 0.1474  3 Pt 2.56
As: 0.3333 0.6667 0.9212  3 Zn 2.73
As: 0.6667 0.3333 0.5878  3 Zn 2.73
As: 0.6667 0.3333 0.8141  3 Pt 2.56
Pt: 0.0000 0.0000 0.7443  3 As 2.56, 3 Zn 2.71
Pt: 0.3333 0.6667 0.4109  3 As 2.56, 3 Zn 2.71
Pt: 0.6667 0.3333 0.0776  3 As 2.56, 3 Zn 2.71

Output
**Calculated formation energy**: 0.0114 eV/atom
**Calculated volume**: 217 Å³ per cell
**Density of states at the Fermi level**: 5.83 states/eV/cell
**Theoretical density**: 9.43 Mg/m³

Record 4
Density functional theory data (PBE-GGA) for crystalline HPtRh2 at its relaxed geometry.

Cell lengths 6.0170, 6.0170, 5.3726 Å; angles 90.00, 90.00, 90.00 degrees
With the nearest neighbours (Å) after each atom.
Fractional positions:
H: 0.0000 0.0000 0.0000  4 Rh 1.87
H: 0.0000 0.5000 0.2500  4 Rh 1.87
H: 0.5000 0.0000 0.7500  4 Rh 1.87
H: 0.5000 0.5000 0.5000  4 Rh 1.87
Pt: 0.0000 0.0000 0.5000  8 Rh 2.67-2.68, 2 H 2.69
Pt: 0.0000 0.5000 0.7500  8 Rh 2.67-2.68, 2 H 2.69
Pt: 0.5000 0.0000 0.2500  8 Rh 2.67-2.68, 2 H 2.69
Pt: 0.5000 0.5000 0.0000  8 Rh 2.67-2.68, 2 H 2.69
Rh: 0.1483 0.7500 0.1250  2 H 1.87
Rh: 0.2500 0.1483 0.8750  2 H 1.87
Rh: 0.2500 0.3517 0.3750  2 H 1.87
Rh: 0.3517 0.7500 0.6250  2 H 1.87
Rh: 0.6483 0.2500 0.6250  2 H 1.87
Rh: 0.7500 0.6483 0.3750  2 H 1.87
Rh: 0.7500 0.8517 0.8750  2 H 1.87
Rh: 0.8517 0.2500 0.1250  2 H 1.87

Output
**Polymorph energy (0 for the lowest one)**: 136 meV per atom
**Calculated volume**: 195 Å³ per cell
**Density of states at the Fermi level**: 21.42 states/eV/cell
**Theoretical density**: 13.72 Mg/m³

Record 5
Density functional theory data (PBE-GGA) for crystalline Ta3Zn2Ni8 at its relaxed geometry.

Cell lengths 9.5379, 9.5379, 9.5379 Å; angles 28.55, 28.55, 28.55 degrees
With the nearest neighbours (Å) after each atom.
Fractional positions:
Ta: 0.0000 0.0000 0.0000  6 Zn 2.84, 12 Ni 3.09-3.13
Ta: 0.1884 0.1884 0.1884  10 Ni 2.49-2.70
Ta: 0.8116 0.8116 0.8116  10 Ni 2.49-2.70
Zn: 0.3639 0.3639 0.3639  4 Ni 2.32-2.41
Zn: 0.6361 0.6361 0.6361  4 Ni 2.32-2.41
Ni: 0.2272 0.7320 0.7320  4 Ni 2.33-2.37, 1 Zn 2.41
Ni: 0.2680 0.2680 0.7728  4 Ni 2.33-2.37, 1 Zn 2.41
Ni: 0.2680 0.7728 0.2680  4 Ni 2.33-2.37, 1 Zn 2.41
Ni: 0.2793 0.2793 0.2793  1 Zn 2.32, 1 Ta 2.49
Ni: 0.7207 0.7207 0.7207  1 Zn 2.32, 1 Ta 2.49
Ni: 0.7320 0.2272 0.7320  4 Ni 2.33-2.37, 1 Zn 2.41
Ni: 0.7320 0.7320 0.2272  4 Ni 2.33-2.37, 1 Zn 2.41
Ni: 0.7728 0.2680 0.2680  4 Ni 2.33-2.37, 1 Zn 2.41

Output
**Calculated formation energy**: -0.0220 eV/atom
**Calculated volume**: 175 Å³ per cell
**Density of states at the Fermi level**: 12.00 states/eV/cell
**Theoretical density**: 10.84 Mg/m³

Record 6
Density functional theory data (PBE-GGA) for crystalline Nd2RuRh at its relaxed geometry.

Cell lengths 3.5321, 3.5321, 7.0329 Å; angles 90.00, 90.00, 90.00 degrees
With the nearest neighbours (Å) after each atom.
Fractional positions:
Nd: 0.0000 0.0000 0.2471  4 Ru 3.04, 4 Rh 3.07
Nd: 0.0000 0.0000 0.7529  4 Ru 3.04, 4 Rh 3.07
Ru: 0.5000 0.5000 0.0000  8 Nd 3.04
Rh: 0.5000 0.5000 0.5000  8 Nd 3.07

Output
**Calculated formation energy**: -0.3778 eV/atom
**Calculated volume**: 88 Å³ per cell
**Density of states at the Fermi level**: 1.49 states/eV/cell
**Theoretical density**: 9.32 Mg/m³

Record 7
Density functional theory data (PBE-GGA) for crystalline SiPOs at its relaxed geometry.

Cell lengths 5.7052, 5.7052, 5.7052 Å; angles 90.00, 90.00, 90.00 degrees
With the nearest neighbours (Å) after each atom.
Fractional positions:
Si: 0.0000 0.0000 0.0000  4 Os 2.47
Si: 0.0000 0.5000 0.5000  4 Os 2.47
Si: 0.5000 0.0000 0.5000  4 Os 2.47
Si: 0.5000 0.5000 0.0000  4 Os 2.47
P: 0.0000 0.0000 0.5000  4 Os 2.47
P: 0.0000 0.5000 0.0000  4 Os 2.47
P: 0.5000 0.0000 0.0000  4 Os 2.47
P: 0.5000 0.5000 0.5000  4 Os 2.47
Os: 0.2500 0.2500 0.7500  4 Si 2.47, 4 P 2.47
Os: 0.2500 0.7500 0.2500  4 Si 2.47, 4 P 2.47
Os: 0.7500 0.2500 0.2500  4 Si 2.47, 4 P 2.47
Os: 0.7500 0.7500 0.7500  4 Si 2.47, 4 P 2.47

Output
**Calculated volume**: 186 Å³ per cell
**Density of states at the Fermi level**: 6.88 states/eV/cell
**Theoretical density**: 8.92 Mg/m³
**Formation energy without anion corrections**: -0.1 eV/f.u.

Record 8
Density functional theory data (PBE-GGA) for crystalline Rb2TcO4 at its relaxed geometry.

Cell lengths 6.6010, 6.7093, 7.8533 Å; angles 90.00, 109.69, 90.00 degrees
With the nearest neighbours (Å) after each atom.
Fractional positions:
Rb: 0.1747 0.2500 0.0200  4 O 2.83-2.98
Rb: 0.3026 0.2500 0.5675  6 O 2.94-3.18
Rb: 0.6974 0.7500 0.4325  6 O 2.94-3.18
Rb: 0.8253 0.7500 0.9800  4 O 2.83-2.98
Tc: 0.2534 0.7500 0.7950  4 O 1.79-1.80
Tc: 0.7466 0.2500 0.2050  4 O 1.79-1.80
O: 0.0785 0.5366 0.7404  1 Tc 1.80
O: 0.0785 0.9634 0.7404  1 Tc 1.80
O: 0.3989 0.7500 0.0332  1 Tc 1.79
O: 0.4392 0.7500 0.6724  1 Tc 1.80
O: 0.5608 0.2500 0.3276  1 Tc 1.80
O: 0.6011 0.2500 0.9668  1 Tc 1.79
O: 0.9215 0.0366 0.2596  1 Tc 1.80
O: 0.9215 0.4634 0.2596  1 Tc 1.80

Output
**Polymorph energy (0 for the lowest one)**: 0 meV per atom
**Calculated volume**: 327 Å³ per cell
**Density of states at the Fermi level**: 12.48 states/eV/cell
**Theoretical density**: 3.38 Mg/m³
**Formation energy without anion corrections**: -11.5 eV/f.u.

Record 9
Density functional theory data (PBE-GGA) for crystalline K2ScRePb at its relaxed geometry.

Cell lengths 6.8909, 6.8909, 5.4393 Å; angles 90.00, 90.00, 90.00 degrees
With the nearest neighbours (Å) after each atom.
Fractional positions:
K: 0.0000 0.5000 0.0000  2 Sc 3.45
K: 0.5000 0.0000 0.0000  2 Sc 3.45
Sc: 0.0000 0.0000 0.0000  2 Pb 2.72
Re: 0.5000 0.5000 0.5000  8 K 4.39, 4 Pb 4.87
Pb: 0.0000 0.0000 0.5000  2 Sc 2.72

Output
**Calculated formation energy**: 1.7862 eV/atom
**Calculated volume**: 258 Å³ per cell
**Density of states at the Fermi level**: 4.36 states/eV/cell
**Theoretical density**: 3.32 Mg/m³

Record 10
Density functional theory data (PBE-GGA) for crystalline Ca3TlP at its relaxed geometry.

Cell lengths 4.0601, 4.0601, 9.2086 Å; angles 90.00, 90.00, 90.00 degrees
With the nearest neighbours (Å) after each atom.
Fractional positions:
Ca: 0.0000 0.0000 0.0000  4 P 2.87
Ca: 0.5000 0.5000 0.3001  1 P 2.76
Ca: 0.5000 0.5000 0.6999  1 P 2.76
Tl: 0.0000 0.0000 0.5000  8 Ca 3.41
P: 0.5000 0.5000 0.0000  6 Ca 2.76-2.87

Output
**Polymorph energy (0 for the lowest one)**: 0 meV per atom
**Calculated formation energy**: -0.7199 eV/atom
**Calculated volume**: 152 Å³ per cell
**Density of states at the Fermi level**: 2.39 states/eV/cell
**Theoretical density**: 3.89 Mg/m³

Record 11
Density functional theory data (PBE-GGA) for crystalline CdTcRu2 at its relaxed geometry.

Cell lengths 2.7982, 3.7831, 5.9081 Å; angles 90.00, 90.00, 90.00 degrees
With the nearest neighbours (Å) after each atom.
Fractional positions:
Cd: 0.0000 0.0000 0.0000  2 Cd 2.80, 8 Ru 2.88, 2 Tc 2.95
Tc: 0.0000 0.0000 0.5000  8 Ru 2.69, 2 Tc 2.80, 2 Cd 2.95
Ru: 0.5000 0.5000 0.2805  3 Ru 2.59-2.80, 4 Tc 2.69, 4 Cd 2.88
Ru: 0.5000 0.5000 0.7195  3 Ru 2.59-2.80, 4 Tc 2.69, 4 Cd 2.88

Output
**Calculated formation energy**: 0.2836 eV/atom
**Calculated volume**: 63 Å³ per cell
**Density of states at the Fermi level**: 4.75 states/eV/cell
**Theoretical density**: 10.95 Mg/m³

Record 12
Density functional theory data (PBE-GGA) for crystalline AcNiTe at its relaxed geometry.

Cell lengths 3.7168, 3.7168, 11.1470 Å; angles 90.00, 90.00, 90.00 degrees
With the nearest neighbours (Å) after each atom.
Fractional positions:
Ac: 0.0000 0.0000 0.0000  1 Te 3.17, 4 Ni 3.26
Ac: 0.5000 0.5000 0.5000  1 Te 3.17, 4 Ni 3.26
Ni: 0.0000 0.0000 0.6734  4 Te 2.90
Ni: 0.5000 0.5000 0.1734  4 Te 2.90
Te: 0.0000 0.0000 0.2844  4 Ni 2.90, 1 Ac 3.17
Te: 0.5000 0.5000 0.7844  4 Ni 2.90, 1 Ac 3.17

Output
**Polymorph energy (0 for the lowest one)**: 516 meV per atom
**Calculated volume**: 154 Å³ per cell
**Density of states at the Fermi level**: 6.57 states/eV/cell
**Theoretical density**: 8.91 Mg/m³
**Formation energy without anion corrections**: -1.1 eV/f.u.